AlCoPt2 | PBE | optimized geometry

a b c (Å): 4.579 4.579 4.579
angles (deg): 129.33 129.33 74.47
Last column: magnetic moment on the atom in μB.
Fractional positions:
Pt: 0.000 0.000 0.000  0.18
Pt: 0.500 0.500 0.000  0.18
Co: 0.750 0.250 0.500  1.71
Al: 0.250 0.750 0.500  -0.01

Values from the calculation:
For the density of states at the Fermi level, the calculation gives 0.517 states/eV per atom. As for the space-group type: I4/mmm. For the mass density, the calculation gives 14.119 Mg/m³. For the calculated volume, the calculation gives 14.00 A^3/atom. The calculation puts the formation energy at -591 meV per atom. The value obtained for the total magnetization is 2.0 μB per formula unit.